Record 1
# LiPmDy2Pt4

LiPmDy2Pt4 after structural relaxation (GGA-PBE, the Alexandria database).

Values from the calculation:
**M_tot**: 0.0 Bohr magnetons per cell
**Energy**: -6.041 eV/atom
**Density of states at the Fermi level**: 3.98 states/eV per cell
**Formation energy**: -1.04 eV/atom

abc: 8.486 8.486 8.486
angles: 33.23 33.23 33.23
Positions (direct):
Li  0.000  0.000  0.000
Pm  0.500  0.500  0.500
Dy  0.260  0.260  0.260
Dy  0.740  0.740  0.740
Pt  0.118  0.118  0.118
Pt  0.378  0.378  0.378
Pt  0.622  0.622  0.622
Pt  0.882  0.882  0.882



Record 2
# SrPmMg2Cd4

SrPmMg2Cd4 after structural relaxation (GGA-PBE, the Alexandria database).

Values from the calculation:
**M_tot**: 0.0 Bohr magnetons per cell
**Energy**: -1.943 eV/atom
**Density of states at the Fermi level**: 3.78 states/eV per cell
**Formation energy**: -0.28 eV/atom

abc: 9.142 9.142 9.142
angles: 33.22 33.22 33.22
Positions (direct):
Sr  0.000  0.000  0.000
Pm  0.500  0.500  0.500
Mg  0.248  0.248  0.248
Mg  0.752  0.752  0.752
Cd  0.126  0.126  0.126
Cd  0.378  0.378  0.378
Cd  0.622  0.622  0.622
Cd  0.874  0.874  0.874



Record 3
# CdFeAg2

CdFeAg2 after structural relaxation (GGA-PBE, the Alexandria database).

Values from the calculation:
**M_tot**: 5.5 Bohr magnetons per cell
**Energy**: -3.267 eV/atom
**Density of states at the Fermi level**: 7.65 states/eV per cell
**Formation energy**: 0.50 eV/atom

abc: 10.249 10.249 10.249
angles: 158.01 158.01 31.29
Positions (direct):
Cd  0.000  0.000  0.000
Cd  0.750  0.250  0.500
Fe  0.250  0.750  0.500
Fe  0.500  0.500  0.000
Ag  0.130  0.625  0.005
Ag  0.375  0.380  0.505
Ag  0.620  0.125  0.995
Ag  0.875  0.870  0.495



Record 4
# CaCoNi

CaCoNi after structural relaxation (GGA-PBE, the Alexandria database).

Values from the calculation:
**M_tot**: 3.2 Bohr magnetons per cell
**Energy**: -4.794 eV/atom
**E above lowest polymorph**: 69 meV/atom
**Density of states at the Fermi level**: 6.09 states/eV per cell
**Formation energy**: 0.17 eV/atom

abc: 6.254 6.254 6.254
angles: 138.56 137.45 60.90
Positions (direct):
Ca  0.381  0.131  0.250
Ca  0.619  0.869  0.750
Co  0.000  0.500  0.500
Co  0.500  0.500  0.000
Ni  0.058  0.308  0.750
Ni  0.942  0.692  0.250



Record 5
# CaSn6Ir

CaSn6Ir after structural relaxation (GGA-PBE, the Alexandria database).

Values from the calculation:
**M_tot**: 0.0 Bohr magnetons per cell
**Energy**: -4.541 eV/atom
**Density of states at the Fermi level**: 2.81 states/eV per cell
**Formation energy**: -0.18 eV/atom

abc: 4.315 6.999 6.999
angles: 78.24 90.00 90.00
Positions (direct):
Ca  0.000  0.000  0.000
Sn  0.000  0.019  0.498
Sn  0.000  0.498  0.019
Sn  0.500  0.234  0.234
Sn  0.500  0.331  0.680
Sn  0.500  0.680  0.331
Sn  0.500  0.779  0.779
Ir  0.000  0.618  0.618



Record 6
# ReTcS

ReTcS after structural relaxation (GGA-PBE, the Alexandria database).

Values from the calculation:
**Formation energy from raw total energies**: 0.11 eV/atom
**M_tot**: 0.0 Bohr magnetons per cell
**Energy**: -8.869 eV/atom
**Density of states at the Fermi level**: 5.48 states/eV per cell

abc: 2.874 2.874 11.840
angles: 90.00 90.00 120.00
Positions (direct):
Re  0.000  0.000  0.000
Re  0.000  0.000  0.500
Tc  0.667  0.333  0.181
Tc  0.667  0.333  0.819
S  0.333  0.667  0.345
S  0.333  0.667  0.655



Record 7
# CuPBr2

CuPBr2 after structural relaxation (GGA-PBE, the Alexandria database).

Values from the calculation:
**Formation energy from raw total energies**: 0.50 eV/atom
**M_tot**: 0.0 Bohr magnetons per cell
**Energy**: -2.712 eV/atom
**E above lowest polymorph**: 646 meV/atom
**Density of states at the Fermi level**: 3.39 states/eV per cell

abc: 8.071 8.071 8.071
angles: 25.23 25.23 25.23
Positions (direct):
Cu  0.000  0.000  0.000
P  0.500  0.500  0.500
Br  0.266  0.266  0.266
Br  0.734  0.734  0.734



Record 8
# Dy4HoTm3

Dy4HoTm3 after structural relaxation (GGA-PBE, the Alexandria database).

Values from the calculation:
**M_tot**: 0.0 Bohr magnetons per cell
**Energy**: -4.548 eV/atom
**E above lowest polymorph**: 0 meV/atom
**Density of states at the Fermi level**: 26.14 states/eV per cell
**Formation energy**: 0.00 eV/atom

abc: 11.120 7.193 6.220
angles: 90.00 90.00 90.00
Positions (direct):
Dy  0.000  0.126  0.000
Dy  0.000  0.873  0.501
Dy  0.249  0.126  0.334
Dy  0.251  0.874  0.834
Dy  0.500  0.127  0.001
Dy  0.500  0.874  0.500
Dy  0.749  0.874  0.834
Dy  0.751  0.126  0.334
Ho  0.000  0.624  0.001
Ho  0.500  0.376  0.501
Tm  0.000  0.376  0.501
Tm  0.250  0.376  0.834
Tm  0.250  0.624  0.334
Tm  0.500  0.624  0.001
Tm  0.750  0.376  0.834
Tm  0.750  0.624  0.334



Record 9
# Ba2AlHgO4

Ba2AlHgO4 after structural relaxation (GGA-PBE, the Alexandria database).

Values from the calculation:
**Formation energy from raw total energies**: -2.05 eV/atom
**M_tot**: 0.0 Bohr magnetons per cell
**Energy**: -5.511 eV/atom
**Density of states at the Fermi level**: 4.68 states/eV per cell

abc: 5.811 5.811 5.811
angles: 111.10 111.10 106.26
Positions (direct):
Ba  0.000  0.000  0.000
Ba  0.750  0.250  0.500
Al  0.250  0.750  0.500
Hg  0.500  0.500  0.000
O  0.243  0.059  0.501
O  0.258  0.757  0.816
O  0.558  0.742  0.499
O  0.941  0.442  0.184



Record 10
# Pm6Ag5Sn

Pm6Ag5Sn after structural relaxation (GGA-PBE, the Alexandria database).

Values from the calculation:
**M_tot**: 0.9 Bohr magnetons per cell
**Energy**: -4.243 eV/atom
**E above lowest polymorph**: 0 meV/atom
**Density of states at the Fermi level**: 12.04 states/eV per cell
**Formation energy**: -0.35 eV/atom

abc: 5.282 7.558 8.372
angles: 90.00 108.47 90.00
Positions (direct):
Pm  0.000  0.245  0.000
Pm  0.000  0.755  0.000
Pm  0.333  0.248  0.663
Pm  0.333  0.752  0.663
Pm  0.667  0.248  0.337
Pm  0.667  0.752  0.337
Ag  0.163  0.500  0.332
Ag  0.164  0.000  0.333
Ag  0.500  0.000  0.000
Ag  0.836  0.000  0.667
Ag  0.837  0.500  0.668
Sn  0.500  0.500  0.000



Record 11
# MgGa2Ag

MgGa2Ag after structural relaxation (GGA-PBE, the Alexandria database).

Values from the calculation:
**M_tot**: 0.0 Bohr magnetons per cell
**Energy**: -2.673 eV/atom
**Density of states at the Fermi level**: 1.51 states/eV per cell
**Formation energy**: -0.05 eV/atom

abc: 3.359 3.359 6.660
angles: 90.00 90.00 90.00
Positions (direct):
Mg  0.000  0.000  0.000
Ga  0.500  0.500  0.262
Ga  0.500  0.500  0.738
Ag  0.000  0.000  0.500



Record 12
# CaTl2Os

CaTl2Os after structural relaxation (GGA-PBE, the Alexandria database).

Values from the calculation:
**M_tot**: 1.0 Bohr magnetons per cell
**Energy**: -3.797 eV/atom
**Density of states at the Fermi level**: 4.62 states/eV per cell
**Formation energy**: 0.69 eV/atom

abc: 10.601 10.601 10.601
angles: 155.49 155.49 34.93
Positions (direct):
Ca  0.000  0.000  0.000
Ca  0.750  0.250  0.500
Tl  0.164  0.625  0.039
Tl  0.375  0.414  0.539
Tl  0.586  0.125  0.961
Tl  0.875  0.836  0.461
Os  0.250  0.750  0.500
Os  0.500  0.500  0.000



Record 13
# Ta12Nb6In

Ta12Nb6In after structural relaxation (GGA-PBE, the Alexandria database).

Values from the calculation:
**M_tot**: 0.0 Bohr magnetons per cell
**Energy**: -10.637 eV/atom
**Density of states at the Fermi level**: 24.68 states/eV per cell
**Formation energy**: 0.17 eV/atom

abc: 5.743 7.440 9.652
angles: 112.39 96.66 103.54
Positions (direct):
Ta  0.000  0.000  0.000
Ta  0.004  0.414  0.203
Ta  0.012  0.200  0.607
Ta  0.248  0.715  0.101
Ta  0.256  0.922  0.714
Ta  0.290  0.504  0.500
Ta  0.459  0.623  0.813
Ta  0.493  0.205  0.600
Ta  0.502  0.412  0.212
Ta  0.738  0.927  0.707
Ta  0.746  0.713  0.110
Ta  0.749  0.127  0.313
Nb  0.233  0.102  0.299
Nb  0.249  0.312  0.908
Nb  0.500  0.815  0.406
Nb  0.516  0.025  0.014
Nb  0.753  0.330  0.904
Nb  0.997  0.797  0.409
In  0.875  0.564  0.657



Record 14
# Tc2Ir3Ru3

Tc2Ir3Ru3 after structural relaxation (GGA-PBE, the Alexandria database).

Values from the calculation:
**M_tot**: 0.0 Bohr magnetons per cell
**Energy**: -9.110 eV/atom
**Density of states at the Fermi level**: 11.71 states/eV per cell
**Formation energy**: 0.28 eV/atom

abc: 4.912 4.912 4.912
angles: 87.61 87.61 87.61
Positions (direct):
Tc  0.249  0.249  0.249
Tc  0.751  0.751  0.751
Ir  0.262  0.500  0.738
Ir  0.500  0.738  0.262
Ir  0.738  0.262  0.500
Ru  0.000  0.764  0.236
Ru  0.236  0.000  0.764
Ru  0.764  0.236  0.000



Record 15
# NdMgBi

NdMgBi after structural relaxation (GGA-PBE, the Alexandria database).

Values from the calculation:
**M_tot**: 0.0 Bohr magnetons per cell
**Energy**: -3.681 eV/atom
**E above lowest polymorph**: 185 meV/atom
**Density of states at the Fermi level**: 5.80 states/eV per cell
**Formation energy**: -0.27 eV/atom

abc: 8.785 8.785 8.785
angles: 35.37 35.37 35.37
Positions (direct):
Nd  0.083  0.083  0.083
Nd  0.917  0.917  0.917
Mg  0.340  0.340  0.340
Mg  0.660  0.660  0.660
Bi  0.218  0.218  0.218
Bi  0.782  0.782  0.782



Record 16
# Sm12InGa6

Sm12InGa6 after structural relaxation (GGA-PBE, the Alexandria database).

Values from the calculation:
**M_tot**: 0.0 Bohr magnetons per cell
**Energy**: -4.461 eV/atom
**Density of states at the Fermi level**: 15.85 states/eV per cell
**Formation energy**: -0.38 eV/atom

abc: 8.926 8.926 8.926
angles: 109.47 109.47 109.47
Positions (direct):
Sm  0.104  0.810  0.293
Sm  0.190  0.293  0.483
Sm  0.190  0.707  0.896
Sm  0.293  0.104  0.810
Sm  0.293  0.483  0.190
Sm  0.483  0.190  0.293
Sm  0.517  0.810  0.707
Sm  0.707  0.517  0.810
Sm  0.707  0.896  0.190
Sm  0.810  0.293  0.104
Sm  0.810  0.707  0.517
Sm  0.896  0.190  0.707
In  0.000  0.000  0.000
Ga  0.121  0.621  0.500
Ga  0.379  0.500  0.879
Ga  0.500  0.121  0.621
Ga  0.500  0.879  0.379
Ga  0.621  0.500  0.121
Ga  0.879  0.379  0.500



Record 17
# Mo2WS6

Mo2WS6 after structural relaxation (GGA-PBE, the Alexandria database).

Values from the calculation:
**Formation energy from raw total energies**: -0.86 eV/atom
**M_tot**: 0.0 Bohr magnetons per cell
**Energy**: -7.455 eV/atom
**Density of states at the Fermi level**: 0.00 states/eV per cell

abc: 3.190 3.190 21.471
angles: 90.00 90.00 120.00
Positions (direct):
Mo  0.000  0.000  0.000
Mo  0.333  0.667  0.329
W  0.000  0.000  0.654
S  0.000  0.000  0.256
S  0.000  0.000  0.402
S  0.333  0.667  0.073
S  0.333  0.667  0.581
S  0.333  0.667  0.727
S  0.333  0.667  0.927



Record 18
# DyCd2B2O6

DyCd2B2O6 after structural relaxation (GGA-PBE, the Alexandria database).

Values from the calculation:
**Formation energy from raw total energies**: -2.14 eV/atom
**M_tot**: 0.0 Bohr magnetons per cell
**Energy**: -6.647 eV/atom
**Density of states at the Fermi level**: 2.61 states/eV per cell

abc: 5.179 5.179 7.030
angles: 90.00 90.00 120.00
Positions (direct):
Dy  0.000  0.000  0.000
Cd  0.333  0.667  0.334
Cd  0.667  0.333  0.666
B  0.333  0.667  0.803
B  0.667  0.333  0.197
O  0.083  0.698  0.803
O  0.302  0.385  0.803
O  0.385  0.083  0.197
O  0.615  0.917  0.803
O  0.698  0.615  0.197
O  0.917  0.302  0.197



Record 19
# TlIr2Os

TlIr2Os after structural relaxation (GGA-PBE, the Alexandria database).

Values from the calculation:
**M_tot**: 0.0 Bohr magnetons per cell
**Energy**: -7.083 eV/atom
**E above lowest polymorph**: 376 meV/atom
**Density of states at the Fermi level**: 4.93 states/eV per cell
**Formation energy**: 0.75 eV/atom

abc: 5.687 5.687 5.687
angles: 151.24 130.15 58.57
Positions (direct):
Tl  0.000  0.000  0.000
Ir  0.272  0.772  0.500
Ir  0.728  0.228  0.500
Os  0.500  0.500  0.000



Record 20
# IrIN2

IrIN2 after structural relaxation (GGA-PBE, the Alexandria database).

Values from the calculation:
**Formation energy from raw total energies**: 0.96 eV/atom
**M_tot**: 0.0 Bohr magnetons per cell
**Energy**: -5.801 eV/atom
**E above lowest polymorph**: 0 meV/atom
**Density of states at the Fermi level**: 2.96 states/eV per cell

abc: 6.650 6.650 6.650
angles: 28.58 28.58 28.58
Positions (direct):
Ir  0.000  0.000  0.000
I  0.500  0.500  0.500
N  0.380  0.380  0.380
N  0.620  0.620  0.620



Record 21
# RbSn3Rh

RbSn3Rh after structural relaxation (GGA-PBE, the Alexandria database).

Values from the calculation:
**M_tot**: 0.0 Bohr magnetons per cell
**Energy**: -4.073 eV/atom
**E above lowest polymorph**: 0 meV/atom
**Density of states at the Fermi level**: 6.25 states/eV per cell
**Formation energy**: -0.01 eV/atom

abc: 5.298 5.298 5.298
angles: 90.00 90.00 90.00
Positions (direct):
Rb  0.000  0.000  0.000
Sn  0.000  0.500  0.500
Sn  0.500  0.000  0.500
Sn  0.500  0.500  0.000
Rh  0.500  0.500  0.500



Record 22
# Pm7Ga2Ru2

Pm7Ga2Ru2 after structural relaxation (GGA-PBE, the Alexandria database).

Values from the calculation:
**M_tot**: 0.0 Bohr magnetons per cell
**Energy**: -5.492 eV/atom
**Density of states at the Fermi level**: 8.68 states/eV per cell
**Formation energy**: -0.23 eV/atom

abc: 6.855 6.855 7.096
angles: 90.00 90.00 109.88
Positions (direct):
Pm  0.000  0.000  0.000
Pm  0.000  0.500  0.262
Pm  0.000  0.500  0.738
Pm  0.500  0.000  0.262
Pm  0.500  0.000  0.738
Pm  0.500  0.500  0.257
Pm  0.500  0.500  0.743
Ga  0.163  0.163  0.500
Ga  0.837  0.837  0.500
Ru  0.301  0.699  0.000
Ru  0.699  0.301  0.000



Record 23
# TaOsPd2

TaOsPd2 after structural relaxation (GGA-PBE, the Alexandria database).

Values from the calculation:
**M_tot**: 0.0 Bohr magnetons per cell
**Energy**: -8.145 eV/atom
**E above lowest polymorph**: 475 meV/atom
**Density of states at the Fermi level**: 6.73 states/eV per cell
**Formation energy**: 0.22 eV/atom

abc: 4.471 4.471 4.471
angles: 60.00 60.00 60.00
Positions (direct):
Ta  0.000  0.000  0.000
Os  0.500  0.500  0.500
Pd  0.250  0.250  0.250
Pd  0.750  0.750  0.750



Record 24
# VInPd5

VInPd5 after structural relaxation (GGA-PBE, the Alexandria database).

Values from the calculation:
**M_tot**: 0.0 Bohr magnetons per cell
**Energy**: -5.594 eV/atom
**E above lowest polymorph**: 0 meV/atom
**Density of states at the Fermi level**: 4.17 states/eV per cell
**Formation energy**: -0.19 eV/atom

abc: 4.033 4.033 7.141
angles: 90.00 90.00 90.00
Positions (direct):
V  0.000  0.000  0.000
In  0.500  0.500  0.500
Pd  0.000  0.000  0.500
Pd  0.000  0.500  0.210
Pd  0.000  0.500  0.790
Pd  0.500  0.000  0.210
Pd  0.500  0.000  0.790